Record 1
Entry from Alexandria: crystalline KPrTi2O6 at its relaxed geometry (PBE).

```
KPrTi2O6
1.0
5.449 -5.183 0.000
5.449 5.183 0.000
-1.751 0.000 5.968
K Pr Ti O
2 2 4 12
direct
0.188 0.812 0.750
0.812 0.188 0.250
0.396 0.604 0.250
0.604 0.396 0.750
0.126 0.292 0.770
0.292 0.126 0.270
0.708 0.874 0.730
0.874 0.708 0.230
0.095 0.614 0.297
0.140 0.168 0.006
0.168 0.140 0.506
0.306 0.463 0.862
0.386 0.905 0.203
0.463 0.306 0.362
0.537 0.694 0.638
0.614 0.095 0.797
0.694 0.537 0.138
0.832 0.860 0.494
0.860 0.832 0.994
0.905 0.386 0.703
```

Output
* formation energy from raw total energies: -2.9910 eV per atom
* SG: C2/c

Record 2
Entry from Alexandria: crystalline KPrTlO3 at its relaxed geometry (PBE).

```
KPrTlO3
1.0
7.503 0.000 0.000
0.000 3.661 0.000
-0.512 0.000 9.249
K Pr Tl O
2 2 2 6
direct
0.126 0.250 0.148
0.874 0.750 0.852
0.390 0.750 0.849
0.610 0.250 0.151
0.151 0.250 0.580
0.849 0.750 0.420
0.162 0.250 0.833
0.318 0.750 0.587
0.407 0.750 0.108
0.593 0.250 0.892
0.682 0.250 0.413
0.838 0.750 0.167
```

Output
* formation energy from raw total energies: -1.8071 eV per atom
* SG: P2_1/m

| no. | density of states at the Fermi level (states/eV/cell) |
| --- | --- |
| 1 | 0.0 |
| 2 | 1.5 |